A relaxed BeAlP2 crystal, computed with GGA-PBE.

Geometry as POSCAR:
```
BeAlP2
1.0
-3.086 -1.117 0.512
1.080 -1.525 3.176
-0.690 3.494 3.468
P Al Be
2 1 1
Cartesian
-0.640 3.298 3.342 P
0.145 1.180 3.449 P
-1.446 -0.067 1.917 Al
-1.250 0.918 5.240 Be
```

Calculated values
crystal system: monoclinic
formation enthalpy at 0 K: 120 meV/atom
energy above the lowest structure with this stoichiometry: 0.360 eV per atom
SG: P2/m (10)
calculated volume: 58.60 Å³/cell
total magnetic moment: 0.0 μB per formula unit